[1]
# PmZrIn6, optimized geometry, DFT GGA-PBE
# D(E_F), states/eV/atom: 0.6187
# Crystal system: tetragonal
# Raw total energy, eV/atom: -4.041
data_PmZrIn6
_chemical_formula_sum 'Pm1 Zr1 In6'
_space_group_name_H-M_alt 'P 4/m m m'
_space_group_IT_number 123
_space_group_name_Hall '-P 4 2'
_cell_length_a 4.617
_cell_length_b 4.617
_cell_length_c 9.156
_cell_angle_alpha 90.00
_cell_angle_beta 90.00
_cell_angle_gamma 90.00
loop_
_atom_site_label
_atom_site_type_symbol
_atom_site_fract_x
_atom_site_fract_y
_atom_site_fract_z
Pm1 Pm 0.000 0.000 0.000
Zr1 Zr 0.000 0.000 0.500
In1 In 0.000 0.500 0.260
In2 In 0.500 0.500 0.000
In3 In 0.500 0.500 0.500


[2]
# Mn5Zn2Pd12, optimized geometry, DFT GGA-PBE
# D(E_F), states/eV/atom: 0.5594
# Crystal system: monoclinic
# Raw total energy, eV/atom: -5.800
data_Mn5Zn2Pd12
_chemical_formula_sum 'Mn10 Zn4 Pd24'
_space_group_name_H-M_alt 'C 1 2/m 1'
_space_group_IT_number 12
_space_group_name_Hall '-C 2y'
_cell_length_a 14.930
_cell_length_b 5.537
_cell_length_c 8.110
_cell_angle_alpha 90.00
_cell_angle_beta 105.97
_cell_angle_gamma 90.00
loop_
_atom_site_label
_atom_site_type_symbol
_atom_site_fract_x
_atom_site_fract_y
_atom_site_fract_z
Mn1 Mn 0.000 0.000 0.000
Mn2 Mn 0.142 0.500 0.373
Mn3 Mn 0.214 0.500 0.907
Zn1 Zn 0.000 0.253 0.500
Pd1 Pd 0.026 0.500 0.810
Pd2 Pd 0.085 0.000 0.774
Pd3 Pd 0.140 0.254 0.105
Pd4 Pd 0.200 0.244 0.629


[3]
# Na2AgH, optimized geometry, DFT GGA-PBE
# D(E_F), states/eV/atom: 0.1412
# Crystal system: trigonal
# Raw total energy, eV/atom: -2.238
data_Na2AgH
_chemical_formula_sum 'Na6 Ag3 H3'
_space_group_name_H-M_alt 'R -3 m'
_space_group_IT_number 166
_space_group_name_Hall '-R 3 2"'
_cell_length_a 3.1590
_cell_length_b 3.1590
_cell_length_c 24.3265
_cell_angle_alpha 90.00
_cell_angle_beta 90.00
_cell_angle_gamma 120.00
loop_
_atom_site_label
_atom_site_type_symbol
_atom_site_fract_x
_atom_site_fract_y
_atom_site_fract_z
Na1 Na 0.0000 0.0000 0.2269
Ag1 Ag 0.0000 0.0000 0.0000
H1 H 0.0000 0.0000 0.5000


[4]
# Cu4SiPd, optimized geometry, DFT GGA-PBE
# D(E_F), states/eV/atom: 0.3658
# E_form (uncorrected), meV/atom: -149
# Crystal system: monoclinic
data_Cu4SiPd
_chemical_formula_sum 'Cu8 Si2 Pd2'
_space_group_name_H-M_alt 'C 1 2/m 1'
_space_group_IT_number 12
_space_group_name_Hall '-C 2y'
_cell_length_a 8.473
_cell_length_b 3.958
_cell_length_c 5.029
_cell_angle_alpha 90.00
_cell_angle_beta 115.84
_cell_angle_gamma 90.00
loop_
_atom_site_label
_atom_site_type_symbol
_atom_site_fract_x
_atom_site_fract_y
_atom_site_fract_z
Cu1 Cu 0.149 0.000 0.310
Cu2 Cu 0.188 0.000 0.837
Si1 Si 0.000 0.500 0.000
Pd1 Pd 0.000 0.500 0.500


Total magnetic moment (μB per formula unit)
0.000, 22.417, 0.000, 0.000